(1)
The following is a DFT calculation (SCAN) of a crystal of HfScCo2 relaxed with PBEsol.

abc: 4.3711 4.3711 4.3711
angles: 60.00 60.00 60.00
Element x y z (fractional)
Hf (0.0000, 0.0000, 0.0000)
Sc (0.5000, 0.5000, 0.5000)
Co (0.2500, 0.2500, 0.2500)
Co (0.7500, 0.7500, 0.7500)

ΔH_f (0 K)   -0.46 eV per atom
SG   Fm-3m (225)


(2)
The following is a DFT calculation (SCAN) of a crystal of KRh2Se relaxed with PBEsol.

abc: 5.1279 5.1279 5.1279
angles: 134.59 134.59 66.17
Element x y z (fractional)
K (0.0000, 0.0000, 0.0000)
Rh (0.5000, 0.5000, 0.0000)
Rh (0.7500, 0.2500, 0.5000)
Se (0.2500, 0.7500, 0.5000)

Energy relative to the elements, uncorrected   0.5432 eV per atom
SG   I-4m2 (119)


(3)
The following is a DFT calculation (SCAN) of a crystal of CuTe8 relaxed with PBEsol.

abc: 9.2628 9.2628 9.2628
angles: 92.94 92.94 153.81
Element x y z (fractional)
Cu (0.0000, 0.0000, 0.0000)
Te (0.0000, 0.2003, 0.2003)
Te (0.0000, 0.7997, 0.7997)
Te (0.2003, 0.0000, 0.2003)
Te (0.3192, 0.3192, 0.6385)
Te (0.3192, 0.6808, 0.0000)
Te (0.6808, 0.3192, 0.0000)
Te (0.6808, 0.6808, 0.3615)
Te (0.7997, 0.0000, 0.7997)

Energy relative to the elements, uncorrected   0.1730 eV per atom
SG   I4/mmm (139)


(4)
The following is a DFT calculation (SCAN) of a crystal of Li2AuSeS relaxed with PBEsol.

abc: 4.4493 4.4493 5.2009
angles: 90.00 90.00 90.00
Element x y z (fractional)
Li (0.0000, 0.5000, 0.0000)
Li (0.5000, 0.0000, 0.0000)
Au (0.0000, 0.0000, 0.5000)
Se (0.5000, 0.5000, 0.0000)
S (0.5000, 0.5000, 0.5000)

Energy relative to the elements, uncorrected   -0.1684 eV per atom
SG   P4/mmm (123)


Taking the records one at a time from the top gives E values of -28.337, -23.444, -34.628, -20.897 eV per atom.